Record 1
# Mg7Zn2Pd2

A relaxed structure of Mg7Zn2Pd2 (PBE-GGA, Alexandria via LeMat-Bulk).

```
Mg7Zn2Pd2
1.0
-2.035 4.542 3.085
-6.809 -1.365 -2.481
0.039 -5.175 2.741
Mg Zn Pd
7 2 2
Direct
0.000 0.295 0.500
0.500 0.705 0.000
0.500 0.204 0.500
0.500 0.796 0.500
0.000 0.000 0.000
0.000 0.705 0.500
0.500 0.295 0.000
0.797 0.500 0.797
0.203 0.500 0.203
0.276 0.000 0.724
0.724 0.000 0.276
```

Density, g cm⁻³: 3.76
Formation energy from the elements, kJ per mole of atoms: -16.3
Space group: No. 65

=====

Record 2
# MgZnPd2

A relaxed structure of MgZnPd2 (PBE-GGA, Alexandria via LeMat-Bulk).

```
MgZnPd2
1.0
6.942 0.000 0.000
0.000 6.942 0.000
3.471 3.471 2.809
Pd Mg Zn
4 2 2
Direct
0.641 0.125 0.250
0.375 0.359 0.750
0.875 0.891 0.750
0.109 0.625 0.250
0.250 0.750 0.500
0.500 0.500 0.000
0.000 0.000 0.000
0.750 0.250 0.500
```

Density, g cm⁻³: 7.42
Formation energy from the elements, kJ per mole of atoms: -29.8
Space group: No. 122

=====

Record 3
# Mg2ZnPd8

A relaxed structure of Mg2ZnPd8 (PBE-GGA, Alexandria via LeMat-Bulk).

```
Mg2ZnPd8
1.0
-1.136 -3.113 2.276
3.129 0.643 2.440
-6.110 6.672 6.076
Pd Zn Mg
8 1 2
Direct
0.000 0.500 0.857
0.500 0.000 0.857
0.500 0.000 0.500
0.000 0.500 0.500
0.500 0.000 0.143
0.000 0.500 0.143
0.500 0.500 0.321
0.500 0.500 0.679
0.000 0.000 0.000
0.000 0.000 0.675
0.000 0.000 0.325
```

Density, g cm⁻³: 9.10
Formation energy from the elements, kJ per mole of atoms: -36.4
Space group: No. 123

=====

Record 4
# Mg2Zn5Pd5

A relaxed structure of Mg2Zn5Pd5 (PBE-GGA, Alexandria via LeMat-Bulk).

```
Mg2Zn5Pd5
1.0
3.169 0.000 0.896
1.092 8.715 2.190
-0.186 0.537 6.711
Pd Zn Mg
5 5 2
Direct
0.350 0.977 0.323
0.600 0.742 0.058
0.650 0.023 0.677
0.500 0.500 0.500
0.400 0.258 0.942
0.753 0.215 0.280
0.247 0.785 0.720
0.000 0.000 0.000
0.934 0.743 0.388
0.066 0.257 0.612
0.837 0.512 0.815
0.163 0.488 0.185
```

Density, g cm⁻³: 8.21
Formation energy from the elements, kJ per mole of atoms: -47.4
Space group: No. 12

=====

Record 5
# Mg3ZnPd12

A relaxed structure of Mg3ZnPd12 (PBE-GGA, Alexandria via LeMat-Bulk).

```
Mg3ZnPd12
1.0
-2.868 -2.464 1.168
0.390 -2.048 -3.364
10.774 -9.271 6.895
Pd Mg Zn
12 3 1
Direct
0.500 0.500 0.500
0.000 0.500 0.374
0.000 0.500 0.878
0.500 0.000 0.374
0.500 0.500 0.000
0.000 0.500 0.122
0.500 0.500 0.248
0.500 0.500 0.752
0.500 0.000 0.122
0.000 0.500 0.626
0.500 0.000 0.626
0.500 0.000 0.878
0.000 0.000 0.248
0.000 0.000 0.752
0.000 0.000 0.500
0.000 0.000 0.000
```

Density, g cm⁻³: 9.50
Formation energy from the elements, kJ per mole of atoms: -40.9
Space group: No. 123

=====

Record 6
# Mg2Zn5Pd2

A relaxed structure of Mg2Zn5Pd2 (PBE-GGA, Alexandria via LeMat-Bulk).

```
Mg2Zn5Pd2
1.0
3.025 -0.395 -0.896
-0.765 5.266 0.764
0.143 3.871 9.749
Zn Pd Mg
5 2 2
Direct
0.988 0.753 0.607
0.468 0.584 0.178
0.532 0.416 0.822
0.000 0.000 0.000
0.012 0.247 0.393
0.739 0.234 0.122
0.261 0.766 0.878
0.744 0.170 0.655
0.256 0.830 0.345
```

Density, g cm⁻³: 6.66
Formation energy from the elements, kJ per mole of atoms: -28.1
Space group: No. 2

=====

Record 7
# Mg2ZnPd3

A relaxed structure of Mg2ZnPd3 (PBE-GGA, Alexandria via LeMat-Bulk).

```
Mg2ZnPd3
1.0
4.268 0.000 0.017
2.134 6.387 0.008
-0.027 0.000 6.810
Mg Zn Pd
4 2 6
Direct
0.334 0.333 0.500
0.000 0.000 0.000
0.666 0.667 0.500
0.000 0.000 0.500
0.666 0.668 0.000
0.334 0.332 0.000
0.169 0.662 0.241
0.500 0.000 0.244
0.500 0.000 0.756
0.831 0.338 0.759
0.169 0.662 0.759
0.831 0.338 0.241
```

Density, g cm⁻³: 7.75
Formation energy from the elements, kJ per mole of atoms: -65.9
Space group: No. 65

=====

Record 8
# MgZn2Pd

A relaxed structure of MgZn2Pd (PBE-GGA, Alexandria via LeMat-Bulk).

```
MgZn2Pd
1.0
-3.820 -0.569 1.460
-1.149 -1.226 -3.483
0.914 -3.629 0.976
Zn Pd Mg
2 1 1
Direct
0.000 0.500 0.000
0.000 0.000 0.500
0.500 0.500 0.500
0.500 0.000 0.000
```

Density, g cm⁻³: 7.03
Formation energy from the elements, kJ per mole of atoms: -37.8
Space group: No. 123

=====

Record 9
# Mg5Zn12Pd3

A relaxed structure of Mg5Zn12Pd3 (PBE-GGA, Alexandria via LeMat-Bulk).

```
Mg5Zn12Pd3
1.0
13.315 0.000 0.000
-4.438 12.554 0.000
-4.438 -6.277 10.872
Mg Zn Pd
20 48 12
Direct
0.875 0.625 0.750
0.375 0.125 0.750
0.250 0.875 0.125
0.125 0.375 0.250
0.000 0.500 0.000
0.750 0.625 0.375
0.500 0.000 0.000
0.500 0.000 0.500
0.500 0.500 0.000
0.625 0.750 0.875
0.875 0.250 0.625
0.000 0.000 0.500
0.500 0.500 0.500
0.000 0.500 0.500
0.000 0.000 0.000
0.125 0.750 0.375
0.625 0.875 0.250
0.750 0.125 0.875
0.375 0.250 0.125
0.250 0.375 0.625
0.418 0.266 0.349
0.082 0.151 0.234
0.266 0.848 0.917
0.848 0.582 0.931
0.849 0.918 0.266
0.582 0.848 0.431
0.349 0.766 0.418
0.431 0.348 0.582
0.266 0.418 0.849
0.418 0.152 0.569
0.348 0.431 0.082
0.083 0.431 0.849
0.848 0.266 0.417
0.652 0.569 0.918
0.152 0.734 0.583
0.152 0.418 0.069
0.569 0.917 0.651
0.734 0.582 0.151
0.234 0.583 0.652
0.766 0.417 0.348
0.931 0.849 0.583
0.069 0.918 0.152
0.569 0.652 0.418
0.917 0.569 0.151
0.931 0.082 0.848
0.917 0.348 0.266
0.234 0.651 0.082
0.652 0.083 0.234
0.918 0.849 0.766
0.083 0.652 0.734
0.849 0.931 0.083
0.348 0.917 0.766
0.582 0.734 0.651
0.349 0.583 0.431
0.417 0.766 0.848
0.069 0.151 0.417
0.417 0.651 0.069
0.651 0.417 0.569
0.583 0.234 0.152
0.583 0.349 0.931
0.918 0.069 0.652
0.734 0.152 0.083
0.151 0.082 0.734
0.082 0.931 0.348
0.766 0.349 0.918
0.431 0.083 0.349
0.651 0.234 0.582
0.151 0.069 0.917
0.625 0.250 0.375
0.750 0.875 0.625
0.875 0.750 0.125
0.750 0.375 0.125
0.375 0.625 0.250
0.250 0.125 0.375
0.375 0.750 0.625
0.250 0.625 0.875
0.875 0.125 0.250
0.125 0.250 0.875
0.125 0.875 0.750
0.625 0.375 0.750
```

Density, g cm⁻³: 4.48
Formation energy from the elements, kJ per mole of atoms: 17.9
Space group: No. 230

=====

Record 10
# Mg5Zn2Pd4

A relaxed structure of Mg5Zn2Pd4 (PBE-GGA, Alexandria via LeMat-Bulk).

```
Mg5Zn2Pd4
1.0
4.428 0.000 -1.265
-0.015 7.818 -0.051
-0.828 0.324 5.485
Zn Mg Pd
2 5 4
Direct
0.577 0.358 0.154
0.423 0.642 0.846
0.855 0.464 0.711
0.500 0.000 0.000
0.210 0.900 0.419
0.145 0.536 0.289
0.790 0.100 0.581
0.669 0.725 0.338
0.331 0.275 0.662
0.948 0.806 0.896
0.052 0.194 0.104
```

Density, g cm⁻³: 6.19
Formation energy from the elements, kJ per mole of atoms: -51.4
Space group: No. 12

=====

Question: density of number 8 (MgZn2Pd)?
Answer: 7.03 g cm⁻³